No. 1
Compound: Cu2Si2Au
Source: Alexandria via LeMat-Bulk
Functional: GGA-PBE
Structure: optimized geometry

CIF file:
```
data_Cu2Si2Au
_chemical_formula_sum 'Cu4 Si4 Au2'
_symmetry_space_group_name_H-M 'P 1'
_symmetry_Int_Tables_number 1
_cell_length_a 6.283
_cell_length_b 6.283
_cell_length_c 3.840
_cell_angle_alpha 90.00
_cell_angle_beta 90.00
_cell_angle_gamma 90.00
loop_
_symmetry_equiv_pos_as_xyz
'x,y,z'
loop_
_atom_site_label
_atom_site_type_symbol
_atom_site_fract_x
_atom_site_fract_y
_atom_site_fract_z
Si1 Si 0.866 0.634 0.000
Au1 Au 0.000 0.000 0.000
Au2 Au 0.500 0.500 0.000
Cu1 Cu 0.356 0.144 0.500
Cu2 Cu 0.856 0.356 0.500
Si2 Si 0.634 0.134 0.000
Cu3 Cu 0.644 0.856 0.500
Si3 Si 0.366 0.866 0.000
Si4 Si 0.134 0.366 0.000
Cu4 Cu 0.144 0.644 0.500
```

Computed properties:
For the formation energy (no corrections), the calculation gives 0.128 eV/atom. The total magnetization comes out at 0.000 μB per formula unit. The value obtained for the mass density is 8.33 g cm⁻³. The space group is P4/mbm, No. 127.

No. 2
Compound: Ho8IrOs2
Source: Alexandria via LeMat-Bulk
Functional: GGA-PBE
Structure: optimized geometry

CIF file:
```
data_Ho8IrOs2
_chemical_formula_sum 'Ho8 Ir1 Os2'
_symmetry_space_group_name_H-M 'P 1'
_symmetry_Int_Tables_number 1
_cell_length_a 5.804
_cell_length_b 7.519
_cell_length_c 7.519
_cell_angle_alpha 112.20
_cell_angle_beta 100.42
_cell_angle_gamma 100.42
loop_
_symmetry_equiv_pos_as_xyz
'x,y,z'
loop_
_atom_site_label
_atom_site_type_symbol
_atom_site_fract_x
_atom_site_fract_y
_atom_site_fract_z
Ho1 Ho 0.990 0.785 0.217
Os1 Os 0.487 0.694 0.317
Ho2 Ho 0.181 0.362 0.362
Ho3 Ho 0.388 0.671 0.930
Os2 Os 0.487 0.317 0.694
Ho4 Ho 0.990 0.217 0.785
Ir1 Ir 0.132 0.999 0.999
Ho5 Ho 0.580 0.079 0.340
Ho6 Ho 0.388 0.930 0.671
Ho7 Ho 0.797 0.640 0.640
Ho8 Ho 0.580 0.340 0.079
```

Computed properties:
The total magnetization comes out at 0.000 μB per formula unit. The value obtained for the mass density is 10.93 g cm⁻³. The energy relative to the elements is -290 meV per atom. The space group is Cm, No. 8.